Entry A
A relaxed structure of ScCrSi2, computed with PBE-GGA.

Summary:
DOS at the Fermi energy (states/eV/cell): 2.347
Space-group type: I-4m2 (119)

Cell and atoms, written as extended XYZ:
```
4
Lattice="-4.728 1.739 -0.394 -3.322 -3.028 -2.308 3.418 -0.472 3.691" Properties=species:S:1:pos:R:3 pbc="T T T"
Sc -1.964 -2.072 0.016
Si -8.049 -1.288 -2.702
Si -2.669 0.311 0.972
Cr -4.025 -0.644 -1.351
```

---

Entry B
A relaxed structure of ScCrSi2, computed with PBE-GGA.

Summary:
DOS at the Fermi energy (states/eV/cell): 4.148
Space-group type: R3m (160)

Cell and atoms, written as extended XYZ:
```
4
Lattice="8.446 -0.026 -0.015 7.935 2.894 -0.015 7.935 1.389 2.539" Properties=species:S:1:pos:R:3 pbc="T T T"
Si 24.143 4.227 2.491
Si 6.021 1.054 0.621
Cr 12.337 2.160 1.273
Sc 18.291 3.203 1.887
```

---

It is entry A that is most stable; the runner-up trails by 44.3 kJ/mol of atoms.

---

Entry A
A relaxed structure of ScCrSi2, computed with PBE-GGA.

Summary:
DOS at the Fermi energy (states/eV/cell): 2.787
Space-group type: I4/mmm (139)

Cell and atoms, written as extended XYZ:
```
4
Lattice="4.633 0.010 0.000 1.157 4.487 0.000 -2.895 -2.248 2.834" Properties=species:S:1:pos:R:3 pbc="T T T"
Sc 2.317 0.005 1.417
Si 2.895 2.248 0.000
Si 0.000 0.000 0.000
Cr 0.578 2.243 1.417
```

---

Entry B
A relaxed structure of ScCrSi2, computed with PBE-GGA.

Summary:
DOS at the Fermi energy (states/eV/cell): 2.208
Space-group type: C2/m (12)

Cell and atoms, written as extended XYZ:
```
4
Lattice="-4.173 1.987 -0.577 -0.176 -2.771 3.740 0.822 2.229 1.696" Properties=species:S:1:pos:R:3 pbc="T T T"
Si -2.175 -0.392 1.581
Si 0.000 0.000 0.000
Sc 0.323 -0.271 2.718
Cr -1.676 2.108 0.560
```

---

Entry C
A relaxed structure of ScCrSi2, computed with PBE-GGA.

Summary:
DOS at the Fermi energy (states/eV/cell): 1.521
Space-group type: R-3m (166)

Cell and atoms, written as extended XYZ:
```
4
Lattice="-4.325 -1.336 -5.171 -1.268 -1.736 -6.528 -2.651 -4.226 -4.728" Properties=species:S:1:pos:R:3 pbc="T T T"
Si -4.219 -3.735 -8.407
Si -8.146 -7.212 -16.233
Sc -6.182 -5.474 -12.320
Cr -2.061 -1.825 -4.107
```

---

Entry D
A relaxed structure of ScCrSi2, computed with PBE-GGA.

Summary:
DOS at the Fermi energy (states/eV/cell): 2.504
Space-group type: Amm2 (38)

Cell and atoms, written as extended XYZ:
```
4
Lattice="-3.611 0.322 -0.222 -0.294 -0.795 3.636 0.196 4.142 2.834" Properties=species:S:1:pos:R:3 pbc="T T T"
Si -1.759 1.359 0.873
Si 0.126 3.804 3.473
Sc -1.864 3.072 5.069
Cr -0.067 1.251 2.903
```

---

It is entry D that is most stable; the runner-up trails by 16.7 kJ/mol of atoms.

---

Entry A
A relaxed structure of ScCrSi2, computed with PBE-GGA.

Summary:
DOS at the Fermi energy (states/eV/cell): 3.359
Space-group type: P4mm (99)

Cell and atoms, written as extended XYZ:
```
4
Lattice="3.202 0.000 0.000 0.000 3.202 0.000 0.000 0.000 5.781" Properties=species:S:1:pos:R:3 pbc="T T T"
Si 1.601 1.601 1.551
Si 0.000 0.000 0.226
Sc 1.601 1.601 4.276
Cr 0.000 0.000 2.618
```

---

Entry B
A relaxed structure of ScCrSi2, computed with PBE-GGA.

Summary:
DOS at the Fermi energy (states/eV/cell): 2.245
Space-group type: F-43m (216)

Cell and atoms, written as extended XYZ:
```
4
Lattice="4.455 0.000 0.000 2.227 3.858 0.000 2.227 1.286 3.637" Properties=species:S:1:pos:R:3 pbc="T T T"
Si 0.000 0.000 0.000
Si 2.227 1.286 0.909
Sc 6.682 3.858 2.728
Cr 4.455 2.572 1.819
```

---

It is entry A that is most stable; the runner-up trails by 28.8 kJ/mol of atoms.

---

Entry A
A relaxed structure of ScCrSi2, computed with PBE-GGA.

Summary:
DOS at the Fermi energy (states/eV/cell): 4.129
Space-group type: Fm-3m (225)

Cell and atoms, written as extended XYZ:
```
4
Lattice="0.000 3.089 3.089 3.089 0.000 3.089 3.089 3.089 0.000" Properties=species:S:1:pos:R:3 pbc="T T T"
Si 4.634 4.634 4.634
Si 1.545 1.545 1.545
Cr 3.089 3.089 3.089
Sc 0.000 0.000 0.000
```

---

Entry B
A relaxed structure of ScCrSi2, computed with PBE-GGA.

Summary:
DOS at the Fermi energy (states/eV/cell): 2.786
Space-group type: P4/mmm (123)

Cell and atoms, written as extended XYZ:
```
4
Lattice="-0.313 0.155 -2.973 -0.107 -2.995 -0.145 -6.577 -2.797 0.547" Properties=species:S:1:pos:R:3 pbc="T T T"
Cr -1.828 -1.370 -1.386
Si -2.984 -2.907 0.163
Si -0.465 -2.984 -0.107
Sc -5.170 -4.266 -1.186
```

---

It is entry B that is most stable; the runner-up trails by 21.2 kJ/mol of atoms.

---

Entry A
A relaxed structure of ScCr3Sn, computed with PBE-GGA.

Summary:
DOS at the Fermi energy (states/eV/cell): 4.337
Space-group type: Pm-3m (221)

Cell and atoms, written as extended XYZ:
```
5
Lattice="-4.958 0.246 -0.818 -0.668 -4.118 2.812 -0.532 2.879 4.091" Properties=species:S:1:pos:R:3 pbc="T T T"
Sn 0.000 0.000 0.000
Cr -0.266 1.440 2.045
Cr -0.334 -2.059 1.406
Cr -2.479 0.123 -0.409
Sc -3.079 -0.496 3.042
```

---

Entry B
A relaxed structure of ScCr3Sn, computed with PBE-GGA.

Summary:
DOS at the Fermi energy (states/eV/cell): 5.241
Space-group type: Pm-3m (221)

Cell and atoms, written as extended XYZ:
```
5
Lattice="4.678 0.000 0.000 0.000 4.678 0.000 0.000 0.000 4.678" Properties=species:S:1:pos:R:3 pbc="T T T"
Sc 0.000 0.000 0.000
Cr 0.000 2.339 0.000
Cr 2.339 0.000 0.000
Cr 0.000 0.000 2.339
Sn 2.339 2.339 2.339
```

---

It is entry A that is most stable; the runner-up trails by 22.4 kJ/mol of atoms.

---

Entry A
A relaxed structure of SrScCr, computed with PBE-GGA.

Summary:
DOS at the Fermi energy (states/eV/cell): 3.593
Space-group type: I4mm (107)

Cell and atoms, written as extended XYZ:
```
3
Lattice="6.819 -0.050 0.000 4.919 4.723 0.000 -5.869 -2.336 2.568" Properties=species:S:1:pos:R:3 pbc="T T T"
Cr 11.453 4.560 0.000
Sc 4.363 1.737 0.000
Sr 7.660 3.049 0.000
```

---

Entry B
A relaxed structure of SrScCr, computed with PBE-GGA.

Summary:
DOS at the Fermi energy (states/eV/cell): 4.428
Space-group type: F-43m (216)

Cell and atoms, written as extended XYZ:
```
3
Lattice="-0.640 -4.030 3.261 4.014 -3.176 1.047 2.232 0.081 4.723" Properties=species:S:1:pos:R:3 pbc="T T T"
Sr 4.204 -5.343 6.774
Cr 0.000 0.000 0.000
Sc 2.803 -3.562 4.516
```

---

It is entry A that is most stable; the runner-up trails by 87.0 kJ/mol of atoms.

---

Entry A
A relaxed structure of SrScCr, computed with PBE-GGA.

Summary:
DOS at the Fermi energy (states/eV/cell): 4.889
Space-group type: F-43m (216)

Cell and atoms, written as extended XYZ:
```
3
Lattice="5.142 0.000 0.000 2.571 4.453 0.000 2.571 1.484 4.199" Properties=species:S:1:pos:R:3 pbc="T T T"
Sr 5.142 2.969 2.099
Cr 7.713 4.453 3.149
Sc 0.000 0.000 0.000
```

---

Entry B
A relaxed structure of SrScCr, computed with PBE-GGA.

Summary:
DOS at the Fermi energy (states/eV/cell): 4.759
Space-group type: P3m1 (156)

Cell and atoms, written as extended XYZ:
```
3
Lattice="-4.993 1.053 -1.298 1.101 -2.211 4.650 0.300 3.231 1.465" Properties=species:S:1:pos:R:3 pbc="T T T"
Cr 0.035 0.373 0.169
Sr -0.728 1.054 3.654
Sc -2.898 0.645 0.993
```

---

It is entry B that is most stable; the runner-up trails by 14.7 kJ/mol of atoms.

---

Entry A
A relaxed structure of SrSc3Cr, computed with PBE-GGA.

Summary:
DOS at the Fermi energy (states/eV/cell): 10.937
Space-group type: Pm-3m (221)

Cell and atoms, written as extended XYZ:
```
5
Lattice="5.028 0.000 0.000 0.000 5.028 0.000 0.000 0.000 5.028" Properties=species:S:1:pos:R:3 pbc="T T T"
Cr 2.514 2.514 2.514
Sc 0.000 2.514 0.000
Sc 2.514 0.000 0.000
Sc 0.000 0.000 2.514
Sr 0.000 0.000 0.000
```

---

Entry B
A relaxed structure of SrSc3Cr, computed with PBE-GGA.

Summary:
DOS at the Fermi energy (states/eV/cell): 5.287
Space-group type: Pm-3m (221)

Cell and atoms, written as extended XYZ:
```
5
Lattice="5.124 0.000 0.000 0.000 5.124 0.000 0.000 0.000 5.124" Properties=species:S:1:pos:R:3 pbc="T T T"
Cr 0.000 0.000 0.000
Sc 2.562 0.000 0.000
Sc 0.000 0.000 2.562
Sc 0.000 2.562 0.000
Sr 2.562 2.562 2.562
```

---

It is entry B that is most stable; the runner-up trails by 160.3 kJ/mol of atoms.

---

Entry A
A relaxed structure of Sr3ScCr, computed with PBE-GGA.

Summary:
DOS at the Fermi energy (states/eV/cell): 6.931
Space-group type: Pm-3m (221)

Cell and atoms, written as extended XYZ:
```
5
Lattice="-4.391 -0.721 -4.113 2.622 -5.121 -1.902 -3.249 -3.158 4.023" Properties=species:S:1:pos:R:3 pbc="T T T"
Sr -2.196 -0.360 -2.056
Sr 1.311 -2.560 -0.951
Sr -1.625 -1.579 2.011
Cr 0.000 0.000 0.000
Sc -2.509 -4.500 -0.996
```

---

Entry B
A relaxed structure of Sr3ScCr, computed with PBE-GGA.

Summary:
DOS at the Fermi energy (states/eV/cell): 19.473
Space-group type: Pm-3m (221)

Cell and atoms, written as extended XYZ:
```
5
Lattice="6.164 0.000 0.000 0.000 6.164 0.000 0.000 0.000 6.164" Properties=species:S:1:pos:R:3 pbc="T T T"
Sr 0.000 0.000 3.082
Sr 0.000 3.082 0.000
Sr 3.082 0.000 0.000
Sc 0.000 0.000 0.000
Cr 3.082 3.082 3.082
```

---

It is entry A that is most stable; the runner-up trails by 85.8 kJ/mol of atoms.

---

Entry A
A relaxed structure of ScTa2Cr, computed with PBE-GGA.

Summary:
DOS at the Fermi energy (states/eV/cell): 4.934
Space-group type: P2/m (10)

Cell and atoms, written as extended XYZ:
```
4
Lattice="4.302 0.000 0.000 0.000 2.973 0.006 0.000 1.153 5.505" Properties=species:S:1:pos:R:3 pbc="T T T"
Cr 2.151 1.032 1.378
Ta 0.000 0.181 0.148
Ta 0.000 1.882 2.607
Sc 2.151 3.095 4.133
```

---

Entry B
A relaxed structure of ScTa2Cr, computed with PBE-GGA.

Summary:
DOS at the Fermi energy (states/eV/cell): 4.850
Space-group type: R-3m (166)

Cell and atoms, written as extended XYZ:
```
4
Lattice="-0.624 6.616 6.222 -3.345 5.299 6.603 -0.899 4.183 8.035" Properties=species:S:1:pos:R:3 pbc="T T T"
Ta -4.810 15.905 20.611
Ta -2.493 8.241 10.680
Sc -3.651 12.073 15.645
Cr -1.217 4.024 5.215
```

---

It is entry A that is most stable; the runner-up trails by 7.0 kJ/mol of atoms.

---

Entry A
A relaxed structure of ScTa2Cr, computed with PBE-GGA.

Summary:
DOS at the Fermi energy (states/eV/cell): 5.865
Space-group type: I-4m2 (119)

Cell and atoms, written as extended XYZ:
```
4
Lattice="-3.629 -2.592 1.348 1.601 0.008 4.375 -0.706 4.025 -2.237" Properties=species:S:1:pos:R:3 pbc="T T T"
Cr -1.014 -1.292 2.861
Ta 0.000 0.000 0.000
Ta -0.059 1.371 2.500
Sc -2.674 0.071 0.986
```

---

Entry B
A relaxed structure of ScTa2Cr, computed with PBE-GGA.

Summary:
DOS at the Fermi energy (states/eV/cell): 4.987
Space-group type: Cmmm (65)

Cell and atoms, written as extended XYZ:
```
4
Lattice="-1.961 -2.045 -0.645 1.433 0.954 -2.341 6.322 -6.452 1.240" Properties=species:S:1:pos:R:3 pbc="T T T"
Cr 1.317 -2.158 -1.183
Ta 0.220 -0.224 0.043
Ta 2.941 -3.001 0.577
Sc 4.477 -5.384 -0.563
```

---

Entry C
A relaxed structure of ScTa2Cr, computed with PBE-GGA.

Summary:
DOS at the Fermi energy (states/eV/cell): 3.509
Space-group type: Cm (8)

Cell and atoms, written as extended XYZ:
```
4
Lattice="5.459 0.011 -0.006 4.504 3.084 -0.006 1.989 0.618 4.166" Properties=species:S:1:pos:R:3 pbc="T T T"
Sc 9.132 2.837 3.023
Ta 9.935 3.087 0.000
Ta 2.730 0.848 1.171
Cr 6.093 1.893 2.023
```

---

Entry D
A relaxed structure of ScTa2Cr, computed with PBE-GGA.

Summary:
DOS at the Fermi energy (states/eV/cell): 5.167
Space-group type: Cmm2 (35)

Cell and atoms, written as extended XYZ:
```
4
Lattice="2.883 0.005 0.000 -1.038 2.690 0.000 0.000 0.000 9.075" Properties=species:S:1:pos:R:3 pbc="T T T"
Ta 0.923 1.348 2.488
Ta 0.000 0.000 0.141
Sc 0.923 1.348 6.566
Cr 0.000 0.000 4.418
```

---

It is entry C that is most stable; the runner-up trails by 0.7 kJ/mol of atoms.

---

Entry A
A relaxed structure of ScTa2Cr, computed with PBE-GGA.

Summary:
DOS at the Fermi energy (states/eV/cell): 5.156
Space-group type: Pmm2 (25)

Cell and atoms, written as extended XYZ:
```
4
Lattice="2.748 0.000 0.000 0.000 4.594 0.000 0.000 0.000 5.578" Properties=species:S:1:pos:R:3 pbc="T T T"
Sc 1.374 2.297 4.147
Ta 0.000 0.000 0.052
Ta 1.374 2.297 1.440
Cr 0.000 0.000 2.729
```

---

Entry B
A relaxed structure of ScTa2Cr, computed with PBE-GGA.

Summary:
DOS at the Fermi energy (states/eV/cell): 5.435
Space-group type: Pm (6)

Cell and atoms, written as extended XYZ:
```
4
Lattice="-0.063 3.707 2.522 0.181 -1.610 2.371 5.528 -0.415 0.748" Properties=species:S:1:pos:R:3 pbc="T T T"
Sc 4.174 0.430 3.458
Ta 1.490 1.247 2.191
Ta 0.114 -0.010 0.018
Cr 2.724 -0.998 1.534
```

---

It is entry B that is most stable; the runner-up trails by 13.7 kJ/mol of atoms.